(1)
# Y2PuIn9 | Alexandria via LeMat-Bulk | PBE-GGA | relaxed
# Mass density (g/cm3): 8.0
# Energy of formation from the pure elements (kJ/mol of formula units): -420
# Volume (Å³/f.u.): 301
# N(E_F) (states/eV per cell): 15.449
# Total magnetic moment (μB per formula unit): 5.63
data_Y2PuIn9
_cell_length_a 4.644
_cell_length_b 4.644
_cell_length_c 13.955
_cell_angle_alpha 90.00
_cell_angle_beta 90.00
_cell_angle_gamma 90.00
_symmetry_space_group_name_H-M 'P 4/m m m'
_symmetry_Int_Tables_number 123
_symmetry_space_group_name_Hall '-P 4 2'
loop_
_atom_site_label
_atom_site_fract_x
_atom_site_fract_y
_atom_site_fract_z
_atom_site_occupancy
Y1 0.000 0.000 0.165 1
Pu1 0.000 0.000 0.500 1
In1 0.000 0.500 0.000 1
In2 0.000 0.500 0.334 1
In3 0.500 0.500 0.168 1
In4 0.500 0.500 0.500 1


(2)
# K3Cd2SnF9 | Alexandria via LeMat-Bulk | PBE-GGA | relaxed
# Mass density (g/cm3): 3.7
# Volume (Å³/f.u.): 283
# N(E_F) (states/eV per cell): 0.000
# Total magnetic moment (μB per formula unit): 0.00
# Formation energy from raw total energies (eV/atom): -2.438
data_K3Cd2SnF9
_cell_length_a 6.3661
_cell_length_b 6.3661
_cell_length_c 8.0666
_cell_angle_alpha 90.00
_cell_angle_beta 90.00
_cell_angle_gamma 120.00
_symmetry_space_group_name_H-M 'P -3 m 1'
_symmetry_Int_Tables_number 164
_symmetry_space_group_name_Hall '-P 3 2"'
loop_
_atom_site_label
_atom_site_fract_x
_atom_site_fract_y
_atom_site_fract_z
_atom_site_occupancy
K1 0.0000 0.0000 0.0000 1
K2 0.3333 0.6667 0.7182 1
Cd1 0.3333 0.6667 0.1653 1
Sn1 0.0000 0.0000 0.5000 1
F1 0.0000 0.5000 0.0000 1
F2 0.1633 0.3265 0.3141 1